Density functional theory data (PBE) for an optimized crystal structure of RbSm3Pu2Te6.

abc: 10.173 10.173 9.225
angles: 103.66 103.66 25.37
Atoms (fractional coordinates):
Rb: 0.000 0.000 0.000
Sm: 0.000 0.000 0.500
Sm: 0.337 0.337 0.172
Sm: 0.663 0.663 0.828
Pu: 0.331 0.331 0.664
Pu: 0.669 0.669 0.336
Te: 0.166 0.166 0.582
Te: 0.174 0.174 0.086
Te: 0.498 0.498 0.730
Te: 0.502 0.502 0.270
Te: 0.826 0.826 0.914
Te: 0.834 0.834 0.418

Results
Its space group is C2/m, No. 12. For the total magnetic moment, the calculation gives 12.07 μB/f.u. The formation energy from raw total energies comes out at -1241 meV/atom.